(1)
Here is Pm4YHg5 after structural relaxation from Alexandria via LeMat-Bulk. Energies are from GGA-PBE.

DFT formation energy   -0.480 eV per atom
Space group   P4/mmm (123)
Theoretical density   10.1 g/cm³

POSCAR file:
```
Pm4YHg5
1.0
3.7972 0.0000 0.0000
0.0000 3.7972 0.0000
0.0000 0.0000 18.9733
Pm Y Hg
4 1 5
Direct
0.0000 0.0000 0.1010 Pm
0.0000 0.0000 0.3026 Pm
0.0000 0.0000 0.6974 Pm
0.0000 0.0000 0.8990 Pm
0.0000 0.0000 0.5000 Y
0.5000 0.5000 0.0000 Hg
0.5000 0.5000 0.2016 Hg
0.5000 0.5000 0.4059 Hg
0.5000 0.5000 0.5941 Hg
0.5000 0.5000 0.7984 Hg
```


(2)
Here is HoTaS4 after structural relaxation from Alexandria via LeMat-Bulk. Energies are from GGA-PBE.

Space group   P2_1/c (14)
Theoretical density   5.7 g/cm³

POSCAR file:
```
HoTaS4
1.0
6.9796 0.0000 0.0000
0.0000 6.3229 0.0000
-2.6555 0.0000 6.2785
Ho Ta S
2 2 8
Direct
0.0000 0.0000 0.0000 Ho
0.0000 0.5000 0.5000 Ho
0.5000 0.0000 0.5000 Ta
0.5000 0.5000 0.0000 Ta
0.1580 0.1442 0.3991 S
0.1580 0.3558 0.8991 S
0.3891 0.6762 0.6541 S
0.3891 0.8238 0.1541 S
0.6109 0.1762 0.8459 S
0.6109 0.3238 0.3459 S
0.8420 0.6442 0.1009 S
0.8420 0.8558 0.6009 S
```


(3)
Here is ZrAg2Te3 after structural relaxation from Alexandria via LeMat-Bulk. Energies are from GGA-PBE.

Space group   P2_1/m (11)
Theoretical density   6.2 g/cm³

POSCAR file:
```
ZrAg2Te3
1.0
8.1389 0.0000 0.0000
0.0000 4.1279 0.0000
-2.3566 0.0000 11.0314
Zr Ag Te
2 4 6
Direct
0.2361 0.2500 0.2105 Zr
0.7639 0.7500 0.7895 Zr
0.0592 0.2500 0.9279 Ag
0.4046 0.7500 0.4195 Ag
0.5954 0.2500 0.5805 Ag
0.9408 0.7500 0.0721 Ag
0.0582 0.7500 0.3243 Te
0.2931 0.7500 0.0285 Te
0.4272 0.7500 0.6803 Te
0.5728 0.2500 0.3197 Te
0.7069 0.2500 0.9715 Te
0.9418 0.2500 0.6757 Te
```


(4)
Here is YSi2As after structural relaxation from Alexandria via LeMat-Bulk. Energies are from GGA-PBE.

Space group   Imm2 (44)
Theoretical density   4.7 g/cm³

POSCAR file:
```
YSi2As
1.0
3.5153 0.0000 0.0000
0.0000 5.0351 0.0000
0.0000 0.0000 8.7174
Y Si As
2 4 2
Direct
0.0000 0.0000 0.0000 Y
0.5000 0.5000 0.5000 Y
0.0000 0.0000 0.5152 Si
0.0000 0.5000 0.2218 Si
0.5000 0.0000 0.7218 Si
0.5000 0.5000 0.0152 Si
0.0000 0.5000 0.7895 As
0.5000 0.0000 0.2895 As
```


Number 1: total energy -3.177 eV per atom. Number 2: total energy -6.765 eV per atom. Number 3: total energy -4.404 eV per atom. Number 4: total energy -5.729 eV per atom.